LaSiBr | PBEsol | optimized geometry

## Properties
* SG: I4mm, No. 107
* crystal system: tetragonal
* formation energy (no corrections): -547 meV/atom
* calculated volume: 28.10 A^3/atom

abc: 7.4170 7.4170 7.4170
angles: 152.94 152.94 38.64
Element x y z (fractional)
La 0.0000 0.0000 0.0000
Si 0.3708 0.3708 0.0000
Br 0.6389 0.6389 0.0000